Record 1
BaGaIr3: optimized geometry, PBE-GGA.

abc: 4.754 4.754 4.754
angles: 90.00 90.00 90.00
Element x y z (fractional)
Ir 0.000 0.500 0.000
Ir 0.000 0.000 0.500
Ir 0.500 0.000 0.000
Ba 0.500 0.500 0.500
Ga 0.000 0.000 0.000

Computed properties:
ΔE to the lowest computed polymorph: 0 meV per atom
Fermi-level density of states: 6.0 states/eV per cell
SG: Pm-3m



Record 2
MnCuTc2Pb: optimized geometry, PBE-GGA.

abc: 4.416 4.944 4.416
angles: 90.00 90.00 90.00
Site moments in Bohr magnetons follow the coordinates.
Element x y z (fractional)
Pb 0.000 0.500 0.000  -0.02
Mn 0.000 0.000 0.000  -0.16
Tc 0.000 0.000 0.500  0.62
Tc 0.500 0.000 0.000  0.60
Cu 0.500 0.500 0.500  0.03

Computed properties:
Fermi-level density of states: 5.7 states/eV per cell
SG: P4/mmm



Record 3
CaDyAgRu: optimized geometry, PBE-GGA.

abc: 4.970 4.970 4.970
angles: 60.00 60.00 60.00
Element x y z (fractional)
Ru 0.750 0.750 0.750
Ca 0.500 0.500 0.500
Ag 0.250 0.250 0.250
Dy 0.000 0.000 0.000

Computed properties:
Fermi-level density of states: 1.7 states/eV per cell
SG: F-43m



Short version: formation enthalpy at 0 K = 2.94; 6.49; -0.57 eV per formula unit, in the order given.
Short version: magnetization = 0.00; 1.12; 0.00 μB per cell, in the order given.